The following is a DFT calculation (GGA-PBE) of MgTe2Mo after structural relaxation.

```
data_MgTe2Mo
_chemical_formula_sum 'Mg1 Te2 Mo1'
_space_group_name_H-M_alt 'P 4/m m m'
_space_group_IT_number 123
_space_group_name_Hall '-P 4 2'
_cell_length_a 4.9755
_cell_length_b 4.9755
_cell_length_c 3.4692
_cell_angle_alpha 90.00
_cell_angle_beta 90.00
_cell_angle_gamma 90.00
loop_
_atom_site_label
_atom_site_type_symbol
_atom_site_fract_x
_atom_site_fract_y
_atom_site_fract_z
_atom_site_occupancy
Mg1 Mg 0.0000 0.0000 0.0000 1
Te1 Te 0.0000 0.5000 0.5000 1
Mo1 Mo 0.5000 0.5000 0.0000 1
```

=====

The following is a DFT calculation (GGA-PBE) of Mn3Nb2Ni after structural relaxation.

```
data_Mn3Nb2Ni
_chemical_formula_sum 'Mn9 Nb6 Ni3'
_space_group_name_H-M_alt 'R -3 m'
_space_group_IT_number 166
_space_group_name_Hall '-R 3 2"'
_cell_length_a 4.7289
_cell_length_b 4.7289
_cell_length_c 12.2148
_cell_angle_alpha 90.00
_cell_angle_beta 90.00
_cell_angle_gamma 120.00
loop_
_atom_site_label
_atom_site_type_symbol
_atom_site_fract_x
_atom_site_fract_y
_atom_site_fract_z
_atom_site_occupancy
Mn1 Mn 0.0000 0.5000 0.0000 1
Nb1 Nb 0.0000 0.0000 0.1219 1
Ni1 Ni 0.0000 0.0000 0.5000 1
```

Computed properties:
Formation energy from the elements: -1.1 eV per formula unit

=====

The following is a DFT calculation (GGA-PBE) of Ce2Pr5Sn4 after structural relaxation.

```
data_Ce2Pr5Sn4
_chemical_formula_sum 'Ce4 Pr10 Sn8'
_space_group_name_H-M_alt 'C 1 2/m 1'
_space_group_IT_number 12
_cell_length_a 22.3745
_cell_length_b 4.1213
_cell_length_c 8.0098
_cell_angle_alpha 90.00
_cell_angle_beta 95.60
_cell_angle_gamma 90.00
loop_
_space_group_symop_operation_xyz
'x,y,z'
'-x,-y,-z'
'-x,y,-z'
'x,-y,z'
'x+1/2,y+1/2,z'
'-x+1/2,-y+1/2,-z'
'-x+1/2,y+1/2,-z'
'x+1/2,-y+1/2,z'
loop_
_atom_site_label
_atom_site_type_symbol
_atom_site_fract_x
_atom_site_fract_y
_atom_site_fract_z
_atom_site_occupancy
Ce1 Ce 0.2467 0.0000 0.1086 1
Pr1 Pr 0.0000 0.0000 0.5000 1
Pr2 Pr 0.1197 0.5000 0.8667 1
Pr3 Pr 0.1716 0.5000 0.4441 1
Sn1 Sn 0.0212 0.5000 0.1902 1
Sn2 Sn 0.1098 0.0000 0.1732 1
```

Computed properties:
Formation energy from the elements: -1.6 eV per formula unit

=====

The following is a DFT calculation (GGA-PBE) of PuHfSe2 after structural relaxation.

```
data_PuHfSe2
_chemical_formula_sum 'Pu3 Hf3 Se6'
_space_group_name_H-M_alt 'R -3 m'
_space_group_IT_number 166
_space_group_name_Hall '-R 3 2"'
_cell_length_a 3.6710
_cell_length_b 3.6710
_cell_length_c 27.6330
_cell_angle_alpha 90.00
_cell_angle_beta 90.00
_cell_angle_gamma 120.00
loop_
_atom_site_label
_atom_site_type_symbol
_atom_site_fract_x
_atom_site_fract_y
_atom_site_fract_z
_atom_site_occupancy
Pu1 Pu 0.0000 0.0000 0.0000 1
Hf1 Hf 0.0000 0.0000 0.5000 1
Se1 Se 0.0000 0.0000 0.1071 1
```

Computed properties:
Energy above the lowest structure with this stoichiometry: 0.3447 eV per atom

=====

Number 1: total energy -4.458 eV/atom. Number 2: total energy -9.094 eV/atom. Number 3: total energy -4.854 eV/atom. Number 4: total energy -8.677 eV/atom.